Record 1
Here is a geometry-optimized AlSeBr2 structure from the Alexandria database. Energies are from PBE-GGA.

```
AlSeBr2
1.0
-2.999 -5.768 -6.220
0.310 -7.022 -5.617
-2.390 -7.961 -3.444
Al Br Se
1 2 1
Cartesian
-3.810 -15.563 -11.461
-2.423 -9.897 -7.288
-0.117 -0.478 -0.352
-1.270 -5.188 -3.820
```

## Properties
Excess energy over the best structure of this formula in the dataset = 545 meV per atom
Formation energy from raw total energies = -7.0 kJ/mol of atoms
Fermi-level density of states = 2.000 states/eV/cell
Space-group type = R-3m (166)
Crystal system = trigonal
Uncorrected energy = -10.9 eV for the cell shown


Record 2
Here is a geometry-optimized Al2SeBr structure from the Alexandria database. Energies are from PBE-GGA.

```
Al2SeBr
1.0
4.079 0.000 0.000
0.000 4.092 0.000
0.000 0.000 5.813
Al Se Br
2 1 1
Cartesian
2.039 2.046 2.116
0.000 0.000 5.104
2.039 2.046 5.122
0.000 0.000 2.189
```

## Properties
Excess energy over the best structure of this formula in the dataset = 397 meV per atom
Formation energy from raw total energies = -12.8 kJ/mol of atoms
Fermi-level density of states = 2.240 states/eV/cell
Space-group type = Pmm2 (25)
Crystal system = orthorhombic
Uncorrected energy = -13.2 eV for the cell shown


Record 3
Here is a geometry-optimized Al4SeBr structure from the Alexandria database. Energies are from PBE-GGA.

```
Al4SeBr
1.0
3.181 -3.494 3.110
-1.594 -5.378 0.733
2.890 -4.172 -2.499
Al Se Br
4 1 1
Cartesian
3.129 -6.980 -0.753
3.275 -6.639 2.066
1.676 -4.882 0.503
0.874 -7.586 0.871
0.000 0.000 0.000
3.358 -9.783 1.008
```

## Properties
Formation energy from raw total energies = 20.3 kJ/mol of atoms
Fermi-level density of states = 2.512 states/eV/cell
Space-group type = F-43m (216)
Crystal system = cubic
Uncorrected energy = -18.9 eV for the cell shown


Record 4
Here is a geometry-optimized AlSeBr2 structure from the Alexandria database. Energies are from PBE-GGA.

```
AlSeBr2
1.0
-1.685 -4.855 -0.212
1.084 2.211 -4.761
4.084 -2.000 -2.450
Br Al Se
2 1 1
Cartesian
0.000 0.000 0.000
1.200 -3.428 -1.331
-0.300 -1.322 -2.486
2.584 0.106 -3.605
```

## Properties
Excess energy over the best structure of this formula in the dataset = 666 meV per atom
Formation energy from raw total energies = 4.7 kJ/mol of atoms
Fermi-level density of states = 1.828 states/eV/cell
Space-group type = C2/m (12)
Crystal system = monoclinic
Uncorrected energy = -10.4 eV for the cell shown


Record 5
Here is a geometry-optimized Al2Se2Br structure from the Alexandria database. Energies are from PBE-GGA.

```
Al2Se2Br
1.0
-6.740 2.970 2.835
-4.088 -4.336 -5.175
5.160 -3.158 4.589
Al Se Br
4 4 2
Cartesian
-1.036 -4.037 1.766
-4.815 0.847 3.095
0.618 -2.282 3.860
-2.089 -0.355 1.947
-1.820 -2.335 3.395
-4.426 -0.684 1.180
-6.551 -2.938 -1.510
1.416 -3.762 2.033
-2.204 -4.581 -0.439
-0.033 -0.493 0.439
```

## Properties
Excess energy over the best structure of this formula in the dataset = 0 meV per atom
Formation energy from raw total energies = -60.1 kJ/mol of atoms
Fermi-level density of states = 5.393 states/eV/cell
Space-group type = I4_1md (109)
Crystal system = tetragonal
Uncorrected energy = -38.5 eV for the cell shown


Record 6
Here is a geometry-optimized Al2SeBr structure from the Alexandria database. Energies are from PBE-GGA.

```
Al2SeBr
1.0
-4.890 -1.116 -0.177
-1.791 -2.849 -3.724
-1.541 -4.683 0.941
Se Al Br
1 2 1
Cartesian
-6.166 -6.486 -2.219
-2.055 -2.162 -0.740
0.000 0.000 0.000
-4.111 -4.324 -1.480
```

## Properties
Excess energy over the best structure of this formula in the dataset = 821 meV per atom
Formation energy from raw total energies = 28.1 kJ/mol of atoms
Fermi-level density of states = 1.435 states/eV/cell
Space-group type = F-43m (216)
Crystal system = cubic
Uncorrected energy = -11.5 eV for the cell shown


Record 7
Here is a geometry-optimized AlSeBr2 structure from the Alexandria database. Energies are from PBE-GGA.

```
AlSeBr2
1.0
-0.190 -0.619 4.981
4.219 -0.859 2.587
1.846 3.544 3.044
Al Se Br
1 1 2
Cartesian
2.938 1.033 5.306
4.406 1.549 7.959
0.000 0.000 0.000
1.469 0.516 2.653
```

## Properties
Excess energy over the best structure of this formula in the dataset = 903 meV per atom
Formation energy from raw total energies = 27.5 kJ/mol of atoms
Fermi-level density of states = 5.769 states/eV/cell
Space-group type = F-43m (216)
Crystal system = cubic
Uncorrected energy = -9.4 eV for the cell shown


Record 8
Here is a geometry-optimized AlSe4Br2 structure from the Alexandria database. Energies are from PBE-GGA.

```
AlSe4Br2
1.0
4.828 0.000 0.000
0.000 4.828 0.000
2.414 2.414 9.137
Se Al Br
4 1 2
Cartesian
0.000 2.414 0.000
4.828 4.828 3.276
2.414 0.000 0.000
2.414 2.414 5.861
0.000 0.000 0.000
4.828 4.828 5.547
2.414 2.414 3.590
```

## Properties
Formation energy from raw total energies = 23.0 kJ/mol of atoms
Fermi-level density of states = 5.328 states/eV/cell
Space-group type = I4/mmm (139)
Crystal system = tetragonal
Uncorrected energy = -19.4 eV for the cell shown


Record 9
Here is a geometry-optimized Al2SeBr structure from the Alexandria database. Energies are from PBE-GGA.

```
Al2SeBr
1.0
-0.235 -2.945 2.043
-0.146 -0.268 -3.578
9.454 -0.972 -0.314
Se Br Al
1 1 2
Cartesian
7.764 -2.424 -1.032
4.011 -0.412 -0.133
1.983 -1.830 -0.840
0.042 -0.004 -0.001
```

## Properties
Excess energy over the best structure of this formula in the dataset = 242 meV per atom
Formation energy from raw total energies = -27.8 kJ/mol of atoms
Fermi-level density of states = 0.486 states/eV/cell
Space-group type = Cmm2 (35)
Crystal system = orthorhombic
Uncorrected energy = -13.8 eV for the cell shown


Record 10
Here is a geometry-optimized AlSeBr2 structure from the Alexandria database. Energies are from PBE-GGA.

```
AlSeBr2
1.0
-3.049 3.173 -5.894
-5.604 2.582 -4.005
-1.576 7.091 0.085
Br Se Al
2 1 1
Cartesian
-7.895 5.911 -8.827
-7.458 8.899 -7.302
-5.866 6.102 -6.024
-2.777 4.112 -2.469
```

## Properties
Excess energy over the best structure of this formula in the dataset = 112 meV per atom
Formation energy from raw total energies = -48.8 kJ/mol of atoms
Fermi-level density of states = 1.858 states/eV/cell
Space-group type = Cm (8)
Crystal system = monoclinic
Uncorrected energy = -12.6 eV for the cell shown